This record from Alexandria via LeMat-Bulk describes HfTaP2 after structural relaxation. The functional is PBE.

Lattice parameters (Å, degrees): 6.3266 6.3266 6.3266 90.00 90.00 90.00
With the nearest neighbours (Å) after each atom.
Space group Fm-3m (No. 225)
One atom of each set of equivalent atoms:
1 Hf 0.0000 0.0000 0.0000 x4  8 P 2.74
2 Ta 0.0000 0.0000 0.5000 x4  8 P 2.74
3 P 0.2500 0.2500 0.2500 x8  4 Hf 2.74, 4 Ta 2.74

Calculated values
- Formation energy from the elements: -66.7 kJ per mole of atoms

***

This record from Alexandria via LeMat-Bulk describes Na3Sc3TeO8 after structural relaxation. The functional is PBE.

Lattice parameters (Å, degrees): 6.4624 6.4624 16.6731 90.00 90.00 120.00
With the nearest neighbours (Å) after each atom.
Space group R-3m (No. 166, hexagonal axes)
One atom of each set of equivalent atoms:
1 Na 0.0000 0.5000 0.0000 x9  6 O 2.51
2 Sc 0.0000 0.5000 0.5000 x9  6 O 2.16-2.17
3 Te 0.0000 0.0000 0.5000 x3  6 O 2.18
4 O 0.0000 0.0000 0.2329 x6  3 Sc 2.17
5 O 0.0029 0.5015 0.7672 x18  2 Sc 2.16, 1 Te 2.18

Calculated values
- E: -6.811 eV per atom

***

This record from Alexandria via LeMat-Bulk describes BaLi4U3O12 after structural relaxation. The functional is PBE.

Lattice parameters (Å, degrees): 11.3746 11.3746 8.1968 90.00 90.00 120.00
With the nearest neighbours (Å) after each atom.
Space group R32 (No. 155, hexagonal axes)
One atom of each set of equivalent atoms:
1 Ba 0.0000 0.0000 0.0000 x3  6 O 2.81
2 Li 0.0000 0.0000 0.5000 x3  3 O 1.89
3 Li 0.0000 0.4371 0.5000 x9  3 O 1.90-1.94
4 U 0.0000 0.5573 0.0000 x9  6 O 1.99-2.17
5 O 0.0000 0.6075 0.5000 x9  1 Li 1.94, 2 U 2.17
6 O 0.0000 0.8336 0.5000 x9  1 Li 1.89
7 O 0.0599 0.2263 0.1954 x18  1 Li 1.90, 1 U 1.99

Calculated values
- E: -7.946 eV per atom